[1]
DFT (SCAN) results for a PBEsol-optimized structure of HgIrBr2.

The calculation puts the raw total energy at -43.482 eV/atom. The value obtained for the energy relative to the elements, uncorrected is 1.064 eV/atom.

The structure belongs to space group Fm-3m (No. 225); the cell edges are 6.870, 6.870 and 6.870 Å and the angles 90.00°, 90.00° and 90.00°. The distinct sites, in fractional coordinates, are Hg at (0.000, 0.000, 0.000), Ir at (0.000, 0.000, 0.500) and Br at (0.250, 0.250, 0.250).

=====

[2]
DFT (SCAN) results for a PBEsol-optimized structure of BaSr2Mg.

The energy of formation is -0.005 eV per atom. The calculation puts the raw total energy at -22.274 eV/atom.

The structure belongs to space group P4/mmm (No. 123); the cell edges are 4.152, 4.152 and 10.596 Å and the angles 90.00°, 90.00° and 90.00°. The distinct sites, in fractional coordinates, are Ba at (0.000, 0.000, 0.000), Sr at (0.500, 0.500, 0.306) and Mg at (0.000, 0.000, 0.500).

=====

[3]
DFT (SCAN) results for a PBEsol-optimized structure of CrSiPt2.

The calculation puts the raw total energy at -42.768 eV/atom. The value obtained for the energy relative to the elements, uncorrected is -0.571 eV/atom.

The structure belongs to space group P4/mmm (No. 123); the cell edges are 3.834, 3.834 and 3.748 Å and the angles 90.00°, 90.00° and 90.00°. The distinct sites, in fractional coordinates, are Cr at (0.000, 0.000, 0.000), Si at (0.500, 0.500, 0.000) and Pt at (0.000, 0.500, 0.500).

=====

[4]
DFT (SCAN) results for a PBEsol-optimized structure of CsGeCl3.

The calculation puts the raw total energy at -17.632 eV/atom. The value obtained for the energy relative to the elements, uncorrected is -1.466 eV/atom.

The structure belongs to space group R3m (No. 160, hexagonal axes); the cell edges are 7.4725, 7.4725 and 9.2030 Å and the angles 90.00°, 90.00° and 120.00°. The distinct sites, in fractional coordinates, are Cs at (0.0000, 0.0000, 0.0000), Ge at (0.0000, 0.0000, 0.4864) and Cl at (0.0189, 0.5094, 0.0103).

=====

[5]
DFT (SCAN) results for a PBEsol-optimized structure of LaIn2MoRh.

The energy of formation is 0.750 eV per atom. The calculation puts the raw total energy at -34.957 eV/atom.

The structure belongs to space group P4/mmm (No. 123); the cell edges are 5.157, 5.157 and 4.974 Å and the angles 90.00°, 90.00° and 90.00°. The distinct sites, in fractional coordinates, are La at (0.000, 0.000, 0.000), In at (0.000, 0.500, 0.500), Mo at (0.000, 0.000, 0.500) and Rh at (0.500, 0.500, 0.000).

=====

[6]
DFT (SCAN) results for a PBEsol-optimized structure of CaNb2Ir2.

The energy of formation is -0.650 eV per atom. The calculation puts the raw total energy at -44.274 eV/atom.

The structure belongs to space group I4/mmm (No. 139); the cell edges are 4.438, 4.438 and 10.315 Å and the angles 90.00°, 90.00° and 90.00°. The distinct sites, in fractional coordinates, are Ca at (0.000, 0.000, 0.000), Nb at (0.000, 0.500, 0.250) and Ir at (0.000, 0.000, 0.376).

=====

[7]
DFT (SCAN) results for a PBEsol-optimized structure of TaTlSn2Sb.

The calculation puts the raw total energy at -48.122 eV/atom. The value obtained for the energy relative to the elements, uncorrected is 1.487 eV/atom.

The structure belongs to space group P4/mmm (No. 123); the cell edges are 5.443, 5.443 and 5.329 Å and the angles 90.00°, 90.00° and 90.00°. The distinct sites, in fractional coordinates, are Ta at (0.000, 0.000, 0.000), Tl at (0.000, 0.000, 0.500), Sn at (0.000, 0.500, 0.500) and Sb at (0.500, 0.500, 0.000).

=====

[8]
DFT (SCAN) results for a PBEsol-optimized structure of Al2Zn2Sn.

The energy of formation is 0.105 eV per atom. The calculation puts the raw total energy at -15.586 eV/atom.

The structure belongs to space group I4/mmm (No. 139); the cell edges are 3.981, 3.981 and 11.521 Å and the angles 90.00°, 90.00° and 90.00°. The distinct sites, in fractional coordinates, are Al at (0.000, 0.500, 0.250), Zn at (0.000, 0.000, 0.105) and Sn at (0.000, 0.000, 0.500).

=====

[9]
DFT (SCAN) results for a PBEsol-optimized structure of SbRuI2F.

The calculation puts the raw total energy at -29.318 eV/atom. The value obtained for the energy relative to the elements, uncorrected is 0.504 eV/atom.

The structure belongs to space group P4/mmm (No. 123); the cell edges are 5.566, 5.566 and 4.135 Å and the angles 90.00°, 90.00° and 90.00°. The distinct sites, in fractional coordinates, are Sb at (0.000, 0.000, 0.000), Ru at (0.500, 0.500, 0.000), I at (0.000, 0.500, 0.500) and F at (0.000, 0.000, 0.500).

=====

[10]
DFT (SCAN) results for a PBEsol-optimized structure of PPb2C.

The energy of formation is 1.537 eV per atom. The calculation puts the raw total energy at -41.478 eV/atom.

The structure belongs to space group Fm-3m (No. 225); the cell edges are 6.800, 6.800 and 6.800 Å and the angles 90.00°, 90.00° and 90.00°. The distinct sites, in fractional coordinates, are P at (0.000, 0.000, 0.000), Pb at (0.250, 0.250, 0.250) and C at (0.000, 0.000, 0.500).

=====

[11]
DFT (SCAN) results for a PBEsol-optimized structure of Sr2AlNi.

The energy of formation is 0.326 eV per atom. The calculation puts the raw total energy at -16.793 eV/atom.

The structure belongs to space group C2/m (No. 12); the cell edges are 6.758, 3.986 and 9.002 Å and the angles 90.00°, 105.30° and 90.00°. The distinct sites, in fractional coordinates, are Sr at (0.235, 0.000, 0.206), Al at (0.000, 0.000, 0.500) and Ni at (0.000, 0.500, 0.000).

=====

[12]
DFT (SCAN) results for a PBEsol-optimized structure of BeAsRh2.

The energy of formation is -0.337 eV per atom. The calculation puts the raw total energy at -23.359 eV/atom.

The structure belongs to space group R-3m (No. 166, hexagonal axes); the cell edges are 2.9071, 2.9071 and 20.9973 Å and the angles 90.00°, 90.00° and 120.00°. The distinct sites, in fractional coordinates, are Be at (0.0000, 0.0000, 0.0000), As at (0.0000, 0.0000, 0.5000) and Rh at (0.0000, 0.0000, 0.2577).

=====

[13]
DFT (SCAN) results for a PBEsol-optimized structure of NbCNO2.

The calculation puts the raw total energy at -12.497 eV/atom. The value obtained for the energy relative to the elements, uncorrected is 0.500 eV/atom.

The structure belongs to space group P4/mmm (No. 123); the cell edges are 3.378, 3.378 and 3.460 Å and the angles 90.00°, 90.00° and 90.00°. The distinct sites, in fractional coordinates, are Nb at (0.000, 0.000, 0.000), C at (0.500, 0.500, 0.500), N at (0.500, 0.500, 0.000) and O at (0.000, 0.500, 0.500).

=====

[14]
DFT (SCAN) results for a PBEsol-optimized structure of Tl4HgI6.

The calculation puts the raw total energy at -53.104 eV/atom. The value obtained for the energy relative to the elements, uncorrected is -0.554 eV/atom.

The structure belongs to space group P4/mnc (No. 128); the cell edges are 9.130, 9.130 and 9.223 Å and the angles 90.00°, 90.00° and 90.00°. The distinct sites, in fractional coordinates, are Tl at (0.147, 0.353, 0.250), Hg at (0.000, 0.000, 0.000), I at (0.000, 0.000, 0.297) and I at (0.142, 0.674, 0.000).

=====

[15]
DFT (SCAN) results for a PBEsol-optimized structure of AgPt2Au.

The energy of formation is 0.075 eV per atom. The calculation puts the raw total energy at -60.153 eV/atom.

The structure belongs to space group I4/mmm (No. 139); the cell edges are 3.941, 3.941 and 8.105 Å and the angles 90.00°, 90.00° and 90.00°. The distinct sites, in fractional coordinates, are Ag at (0.000, 0.000, 0.000), Pt at (0.000, 0.500, 0.250) and Au at (0.000, 0.000, 0.500).

=====

[16]
DFT (SCAN) results for a PBEsol-optimized structure of HPt2F.

The calculation puts the raw total energy at -36.718 eV/atom.

The structure belongs to space group I-42d (No. 122); the cell edges are 4.733, 4.733 and 8.697 Å and the angles 90.00°, 90.00° and 90.00°. The distinct sites, in fractional coordinates, are H at (0.000, 0.000, 0.000), Pt at (0.154, 0.250, 0.125) and F at (0.000, 0.000, 0.500).

=====

[17]
DFT (SCAN) results for a PBEsol-optimized structure of Ta3BeI.

The calculation puts the raw total energy at -45.586 eV/atom. The value obtained for the energy relative to the elements, uncorrected is 2.583 eV/atom.

The structure belongs to space group Pm-3m (No. 221); the cell edges are 4.913, 4.913 and 4.913 Å and the angles 90.00°, 90.00° and 90.00°. The distinct sites, in fractional coordinates, are Ta at (0.000, 0.000, 0.500), Be at (0.500, 0.500, 0.500) and I at (0.000, 0.000, 0.000).

=====

[18]
DFT (SCAN) results for a PBEsol-optimized structure of NaFeI3.

The calculation puts the raw total energy at -26.188 eV/atom. The value obtained for the energy relative to the elements, uncorrected is 0.326 eV/atom.

The structure belongs to space group Pm-3m (No. 221); the cell edges are 5.650, 5.650 and 5.650 Å and the angles 90.00°, 90.00° and 90.00°. The distinct sites, in fractional coordinates, are Na at (0.000, 0.000, 0.000), Fe at (0.500, 0.500, 0.500) and I at (0.000, 0.000, 0.500).

=====

[19]
DFT (SCAN) results for a PBEsol-optimized structure of Ba2MnTc.

The energy of formation is 1.128 eV per atom. The calculation puts the raw total energy at -31.976 eV/atom.

The structure belongs to space group R-3m (No. 166, hexagonal axes); the cell edges are 3.5101, 3.5101 and 30.0864 Å and the angles 90.00°, 90.00° and 120.00°. The distinct sites, in fractional coordinates, are Ba at (0.0000, 0.0000, 0.2425), Mn at (0.0000, 0.0000, 0.0000) and Tc at (0.0000, 0.0000, 0.5000).

=====

[20]
DFT (SCAN) results for a PBEsol-optimized structure of K2LiCuF6.

The calculation puts the raw total energy at -8.167 eV/atom. The value obtained for the energy relative to the elements, uncorrected is -2.618 eV/atom.

The structure belongs to space group Fm-3m (No. 225); the cell edges are 7.906, 7.906 and 7.906 Å and the angles 90.00°, 90.00° and 90.00°. The distinct sites, in fractional coordinates, are K at (0.250, 0.250, 0.250), Li at (0.000, 0.000, 0.000), Cu at (0.000, 0.000, 0.500) and F at (0.000, 0.000, 0.259).